Density functional theory data (GGA-PBE) for Hf6Sn3Bi after structural relaxation.

a b c (Å): 7.402 8.388 8.388
angles (deg): 112.02 90.00 90.00
Fractional positions:
Hf (0.116, 0.774, 0.658)
Hf (0.616, 0.658, 0.774)
Hf (0.795, 0.931, 0.527)
Hf (0.114, 0.717, 0.283)
Hf (0.614, 0.283, 0.717)
Hf (0.795, 0.473, 0.069)
Hf (0.295, 0.527, 0.931)
Hf (0.116, 0.342, 0.226)
Hf (0.274, 0.961, 0.039)
Hf (0.295, 0.069, 0.473)
Hf (0.774, 0.039, 0.961)
Hf (0.616, 0.226, 0.342)
Sn (0.462, 0.281, 0.051)
Sn (0.314, 0.445, 0.555)
Sn (0.462, 0.949, 0.719)
Sn (0.814, 0.555, 0.445)
Sn (0.962, 0.719, 0.949)
Sn (0.962, 0.051, 0.281)
Bi (0.537, 0.801, 0.199)
Bi (0.037, 0.199, 0.801)

Density functional theory data (GGA-PBE) for CdSbO after structural relaxation.

a b c (Å): 3.377 4.957 7.579
angles (deg): 90.00 101.95 90.00
Fractional positions:
O (0.188, 0.438, 0.866)
O (0.812, 0.938, 0.134)
Cd (0.320, 0.623, 0.152)
Cd (0.680, 0.123, 0.848)
Sb (0.084, 0.714, 0.651)
Sb (0.916, 0.214, 0.349)

The calculation puts the uncorrected formation energy at -1.79 eV/f.u. For the energy above the most stable polymorph in this dataset, the calculation gives 48.1 meV per atom.

Q: Which DOS(E_F) values were calculated for the entries above? A: 17.74 1.80, in states/eV per cell.
Q: Which magnetization values were calculated for the entries above? A: 0.00 0.00, in μB/f.u..
Q: Which final energy values were calculated for the entries above? A: -7.65 -3.93, in eV per atom.